(1)
# AgWBr2 | Alexandria via LeMat-Bulk | PBE | relaxed
data_AgWBr2
_cell_length_a 3.074
_cell_length_b 4.781
_cell_length_c 13.146
_cell_angle_alpha 90.00
_cell_angle_beta 90.00
_cell_angle_gamma 90.00
_space_group_name_H-M_alt 'I m m 2'
_space_group_IT_number 44
loop_
_space_group_symop_operation_xyz
'x,y,z'
'-x,-y,z'
'-x,y,z'
'x,-y,z'
'x+1/2,y+1/2,z+1/2'
'-x+1/2,-y+1/2,z+1/2'
'-x+1/2,y+1/2,z+1/2'
'x+1/2,-y+1/2,z+1/2'
loop_
_atom_site_label
_atom_site_fract_x
_atom_site_fract_y
_atom_site_fract_z
_atom_site_occupancy
Ag1 0.000 0.000 0.000 1
W1 0.000 0.500 0.316 1
Br1 0.000 0.000 0.654 1
Br2 0.000 0.500 0.840 1
# Formation energy (no corrections) = 2.6 eV/f.u.
# Energy = -4.1401 eV per atom
# Energy relative to the lowest polymorph listed for this composition = 28.84 kJ per mole of atoms
# Total moment = 1.51 μB per formula unit

(2)
# La4CrPt | Alexandria via LeMat-Bulk | PBE | relaxed
data_La4CrPt
_cell_length_a 8.866
_cell_length_b 8.866
_cell_length_c 8.866
_cell_angle_alpha 90.00
_cell_angle_beta 90.00
_cell_angle_gamma 90.00
_space_group_name_H-M_alt 'F -4 3 m'
_space_group_IT_number 216
_space_group_name_Hall 'F -4 2 3'
loop_
_atom_site_label
_atom_site_fract_x
_atom_site_fract_y
_atom_site_fract_z
_atom_site_occupancy
La1 0.124 0.124 0.124 1
Cr1 0.000 0.000 0.500 1
Pt1 0.250 0.250 0.750 1
# ΔE_f = 0.59 eV per atom
# Energy = -5.3029 eV per atom
# Total moment = 3.47 μB per formula unit

(3)
# SbSeBr2Cl | Alexandria via LeMat-Bulk | PBE | relaxed
data_SbSeBr2Cl
_cell_length_a 5.451
_cell_length_b 5.451
_cell_length_c 5.669
_cell_angle_alpha 90.00
_cell_angle_beta 90.00
_cell_angle_gamma 90.00
_space_group_name_H-M_alt 'P 4/m m m'
_space_group_IT_number 123
_space_group_name_Hall '-P 4 2'
loop_
_atom_site_label
_atom_site_fract_x
_atom_site_fract_y
_atom_site_fract_z
_atom_site_occupancy
Sb1 0.000 0.000 0.000 1
Se1 0.000 0.000 0.500 1
Br1 0.000 0.500 0.000 1
Cl1 0.500 0.500 0.500 1
# Formation energy (no corrections) = 0.6 eV/f.u.
# Energy = -2.4469 eV per atom
# Energy relative to the lowest polymorph listed for this composition = 0.00 kJ per mole of atoms
# Total moment = 1.88 μB per formula unit

(4)
# Ca2LaHPd | Alexandria via LeMat-Bulk | PBE | relaxed
data_Ca2LaHPd
_cell_length_a 4.607
_cell_length_b 4.607
_cell_length_c 5.487
_cell_angle_alpha 90.00
_cell_angle_beta 90.00
_cell_angle_gamma 90.00
_space_group_name_H-M_alt 'P 4/m m m'
_space_group_IT_number 123
_space_group_name_Hall '-P 4 2'
loop_
_atom_site_label
_atom_site_fract_x
_atom_site_fract_y
_atom_site_fract_z
_atom_site_occupancy
Ca1 0.000 0.500 0.000 1
La1 0.000 0.000 0.500 1
H1 0.000 0.000 0.000 1
Pd1 0.500 0.500 0.500 1
# Energy = -3.8031 eV per atom
# Total moment = 0.00 μB per formula unit

(5)
# ZnSbW2 | Alexandria via LeMat-Bulk | PBE | relaxed
data_ZnSbW2
_cell_length_a 3.586
_cell_length_b 4.445
_cell_length_c 8.576
_cell_angle_alpha 90.00
_cell_angle_beta 90.00
_cell_angle_gamma 90.00
_space_group_name_H-M_alt 'I m m 2'
_space_group_IT_number 44
loop_
_space_group_symop_operation_xyz
'x,y,z'
'-x,-y,z'
'-x,y,z'
'x,-y,z'
'x+1/2,y+1/2,z+1/2'
'-x+1/2,-y+1/2,z+1/2'
'-x+1/2,y+1/2,z+1/2'
'x+1/2,-y+1/2,z+1/2'
loop_
_atom_site_label
_atom_site_fract_x
_atom_site_fract_y
_atom_site_fract_z
_atom_site_occupancy
Zn1 0.000 0.000 0.000 1
Sb1 0.000 0.500 0.759 1
W1 0.000 0.000 0.516 1
W2 0.000 0.500 0.248 1
# Formation energy (no corrections) = 2.2 eV/f.u.
# Energy = -7.2861 eV per atom
# Energy relative to the lowest polymorph listed for this composition = 21.50 kJ per mole of atoms
# Total moment = 0.00 μB per formula unit

(6)
# RuPb2Br | Alexandria via LeMat-Bulk | PBE | relaxed
data_RuPb2Br
_cell_length_a 3.247
_cell_length_b 4.703
_cell_length_c 13.277
_cell_angle_alpha 90.00
_cell_angle_beta 90.00
_cell_angle_gamma 90.00
_space_group_name_H-M_alt 'I m m m'
_space_group_IT_number 71
_space_group_name_Hall '-I 2 2'
loop_
_atom_site_label
_atom_site_fract_x
_atom_site_fract_y
_atom_site_fract_z
_atom_site_occupancy
Ru1 0.000 0.000 0.000 1
Pb1 0.000 0.500 0.323 1
Br1 0.000 0.000 0.500 1
# Formation energy (no corrections) = 1.4 eV/f.u.
# Energy = -4.2376 eV per atom
# Energy relative to the lowest polymorph listed for this composition = 21.83 kJ per mole of atoms
# Total moment = 0.00 μB per formula unit